Entry 1:
DFT (PBE-GGA) results for a relaxed structure of LaGeSe3.

a = 8.2422 Å, b = 6.7822 Å, c = 9.4583 Å
α = 90.00°, β = 90.00°, γ = 90.00°
With the nearest neighbours (Å) after each atom.
Atoms (fractional coordinates):
La1 0.1138 0.0439 0.0000  8 Se 3.10-3.26
La2 0.3862 0.5439 0.5000  8 Se 3.10-3.26
La3 0.6138 0.4561 0.0000  8 Se 3.10-3.26
La4 0.8862 0.9561 0.5000  8 Se 3.10-3.26
Ge1 0.0690 0.5259 0.2284  4 Se 2.45-2.61
Ge2 0.4310 0.0259 0.7284  4 Se 2.45-2.61
Ge3 0.5690 0.9741 0.2284  4 Se 2.45-2.61
Ge4 0.9310 0.4741 0.7284  4 Se 2.45-2.61
Se1 0.0332 0.3858 0.4836  2 Ge 2.54-2.61
Se2 0.1767 0.8458 0.3037  1 Ge 2.45
Se3 0.1776 0.8354 0.6951  1 Ge 2.48
Se4 0.3224 0.3354 0.1951  1 Ge 2.48
Se5 0.3233 0.3458 0.8037  1 Ge 2.45
Se6 0.4668 0.8858 0.9836  2 Ge 2.54-2.61
Se7 0.5332 0.1142 0.4836  2 Ge 2.54-2.61
Se8 0.6767 0.6542 0.3037  1 Ge 2.45
Se9 0.6776 0.6646 0.6951  1 Ge 2.48
Se10 0.8224 0.1646 0.1951  1 Ge 2.48
Se11 0.8233 0.1542 0.8037  1 Ge 2.45
Se12 0.9668 0.6142 0.9836  2 Ge 2.54-2.61

Summary:
Uncorrected formation energy   -1076 meV per atom
DFT total energy   -5.08 eV per atom

Entry 2:
DFT (PBE-GGA) results for a relaxed structure of Th3Tl4CuTe8.

a = 8.9208 Å, b = 8.9208 Å, c = 9.7390 Å
α = 117.35°, β = 117.35°, γ = 59.85°
With the nearest neighbours (Å) after each atom.
Atoms (fractional coordinates):
Th1 0.0000 0.0000 0.0000  6 Te 3.14-3.18
Th2 0.0000 0.5000 0.0000  6 Te 3.14-3.18
Th3 0.5000 0.0000 0.0000  6 Te 3.14-3.18
Tl1 0.0000 0.0000 0.5000  6 Te 3.60-3.63
Tl2 0.0000 0.5000 0.5000  6 Te 3.42-3.49
Tl3 0.5000 0.0000 0.5000  6 Te 3.42-3.49
Tl4 0.5000 0.5000 0.5000  6 Te 3.43-3.49
Cu1 0.5000 0.5000 0.0000  6 Te 2.98-3.01
Te1 0.2421 0.2421 0.2266  3 Th 3.18, 3 Tl 3.42-3.43
Te2 0.2520 0.7271 0.2066  1 Cu 2.98, 2 Th 3.14
Te3 0.2705 0.2705 0.7914  1 Cu 3.01, 2 Th 3.14
Te4 0.2729 0.7480 0.7934  1 Cu 2.98, 2 Th 3.14
Te5 0.7271 0.2520 0.2066  1 Cu 2.98, 2 Th 3.14
Te6 0.7295 0.7295 0.2086  1 Cu 3.01, 2 Th 3.14
Te7 0.7480 0.2729 0.7934  1 Cu 2.98, 2 Th 3.14
Te8 0.7579 0.7579 0.7734  3 Th 3.18, 3 Tl 3.42-3.43

Summary:
Uncorrected formation energy   -700 meV per atom
DFT total energy   -4.51 eV per atom